[1]
Compound: ZnTcIr2
Source: Alexandria
Functional: PBEsol
Structure: optimized geometry

Calculated values
Formation energy from the elements ... 0.098 eV per atom
Theoretical density ... 16.49 g/cm3
Total moment ... 0.00 μB per cell

Unit cell a=2.8498 b=4.4098 c=5.1154 alpha=115.53 beta=106.17 gamma=90.00
Fractional positions:
Ir 0.9821 0.9821 0.9643
Ir 0.7545 0.2545 0.5091
Tc 0.5130 0.5130 0.0259
Zn 0.2504 0.7504 0.5007



[2]
Compound: Zn2TcIr
Source: Alexandria
Functional: PBEsol
Structure: optimized geometry

Calculated values
Formation energy from the elements ... -0.143 eV per atom
Theoretical density ... 12.66 g/cm3
Total moment ... 0.00 μB per cell

Unit cell a=2.7530 b=2.7530 c=7.2878 alpha=90.00 beta=90.00 gamma=90.00
Fractional positions:
Zn 0.0000 0.0000 0.9981
Zn 0.5000 0.5000 0.2533
Ir 0.0000 0.0000 0.5059
Tc 0.5000 0.5000 0.7427



[3]
Compound: ZnTc2Ir
Source: Alexandria
Functional: PBEsol
Structure: optimized geometry

Calculated values
Formation energy from the elements ... -0.033 eV per atom
Theoretical density ... 13.65 g/cm3
Total moment ... 0.00 μB per cell

Unit cell a=2.7257 b=4.2900 c=4.7188 alpha=90.00 beta=90.00 gamma=90.00
Fractional positions:
Ir 0.5000 0.5000 0.2299
Tc 0.0000 0.0000 0.0152
Tc 0.0000 0.5000 0.7247
Zn 0.5000 0.0000 0.5302



[4]
Compound: ZnTc2Ir
Source: Alexandria
Functional: PBEsol
Structure: optimized geometry

Calculated values
Formation energy from the elements ... 0.132 eV per atom
Theoretical density ... 13.58 g/cm3
Total moment ... 0.01 μB per cell

Unit cell a=4.2803 b=4.2803 c=4.2803 alpha=60.00 beta=60.00 gamma=60.00
Fractional positions:
Ir 0.5000 0.5000 0.5000
Tc 0.0000 0.0000 0.0000
Tc 0.7500 0.7500 0.7500
Zn 0.2500 0.2500 0.2500



[5]
Compound: Zr2TcIr
Source: Alexandria
Functional: PBEsol
Structure: optimized geometry

Calculated values
Formation energy from the elements ... -0.188 eV per atom
Theoretical density ... 11.09 g/cm3
Total moment ... 0.00 μB per cell

Unit cell a=3.1389 b=3.1389 c=8.4907 alpha=79.35 beta=79.35 gamma=60.00
Fractional positions:
Ir 0.5000 0.5000 0.5000
Tc 0.0000 0.0000 0.0000
Zr 0.2517 0.2517 0.2448
Zr 0.7483 0.7483 0.7552



[6]
Compound: Zr2TcIr
Source: Alexandria
Functional: PBEsol
Structure: optimized geometry

Calculated values
Formation energy from the elements ... -0.686 eV per atom
Theoretical density ... 11.44 g/cm3
Total moment ... 0.00 μB per cell

Unit cell a=3.2969 b=4.5612 c=4.5612 alpha=90.00 beta=90.00 gamma=90.00
Fractional positions:
Ir 0.5000 0.0000 0.0000
Tc 0.5000 0.5000 0.5000
Zr 0.0000 0.0000 0.5000
Zr 0.0000 0.5000 0.0000



[7]
Compound: Zr2TcIr
Source: Alexandria
Functional: PBEsol
Structure: optimized geometry

Calculated values
Formation energy from the elements ... -0.700 eV per atom
Theoretical density ... 11.47 g/cm3
Total moment ... 0.00 μB per cell

Unit cell a=4.5906 b=4.5906 c=4.5906 alpha=60.00 beta=60.00 gamma=60.00
Fractional positions:
Ir 0.5000 0.5000 0.5000
Tc 0.0000 0.0000 0.0000
Zr 0.2500 0.2500 0.2500
Zr 0.7500 0.7500 0.7500



[8]
Compound: ZrTcIr
Source: Alexandria
Functional: PBEsol
Structure: optimized geometry

Calculated values
Formation energy from the elements ... -0.075 eV per atom
Theoretical density ... 13.22 g/cm3
Total moment ... 0.00 μB per cell

Unit cell a=2.7843 b=4.4575 c=4.4575 alpha=120.00 beta=90.00 gamma=90.00
Fractional positions:
Ir 0.0183 0.0000 0.0000
Tc 0.6257 0.3333 0.6667
Zr 0.3560 0.6667 0.3333



[9]
Compound: Te2Ir
Source: Alexandria
Functional: PBEsol
Structure: optimized geometry

Calculated values
Uncorrected formation energy ... 78 kJ/mol of formula units
Theoretical density ... 10.48 g/cm3
Total moment ... 0.00 μB per cell

Unit cell a=3.0709 b=3.4463 c=13.5981 alpha=97.28 beta=96.48 gamma=90.00
Fractional positions:
Ir 0.6235 0.8735 0.2470
Ir 0.3765 0.1265 0.7530
Te 0.0600 0.3100 0.1200
Te 0.9400 0.6900 0.8800
Te 0.1843 0.4343 0.3685
Te 0.8157 0.5657 0.6315



[10]
Compound: Te2Ir
Source: Alexandria
Functional: PBEsol
Structure: optimized geometry

Calculated values
Uncorrected formation energy ... -76 kJ/mol of formula units
Theoretical density ... 10.06 g/cm3
Total moment ... 0.00 μB per cell

Unit cell a=4.0366 b=6.4531 c=11.3361 alpha=90.00 beta=90.00 gamma=90.00
Fractional positions:
Ir 0.7500 0.6099 0.3610
Ir 0.2500 0.1099 0.1390
Ir 0.7500 0.8901 0.8610
Ir 0.2500 0.3901 0.6390
Te 0.7500 0.2205 0.9968
Te 0.2500 0.7205 0.5032
Te 0.7500 0.2795 0.4968
Te 0.2500 0.7795 0.0032
Te 0.7500 0.5132 0.7698
Te 0.2500 0.0132 0.7302
Te 0.7500 0.9868 0.2698
Te 0.2500 0.4868 0.2302



[11]
Compound: Te2Ir
Source: Alexandria
Functional: PBEsol
Structure: optimized geometry

Calculated values
Uncorrected formation energy ... -77 kJ/mol of formula units
Theoretical density ... 10.42 g/cm3
Total moment ... 0.00 μB per cell

Unit cell a=3.9376 b=3.9376 c=5.3106 alpha=90.00 beta=90.00 gamma=120.00
Fractional positions:
Ir 0.0000 0.0000 0.0000
Te 0.3333 0.6667 0.2555
Te 0.6667 0.3333 0.7445



[12]
Compound: TeIr3
Source: Alexandria
Functional: PBEsol
Structure: optimized geometry

Calculated values
Uncorrected formation energy ... 1023 kJ/mol of formula units
Theoretical density ... 10.35 g/cm3
Total moment ... 0.51 μB per cell

Unit cell a=4.8351 b=4.8351 c=4.8351 alpha=90.00 beta=90.00 gamma=90.00
Each line ends with the local moment (μB).
Fractional positions:
Ir 0.5000 0.0000 0.0000  0.17
Ir 0.0000 0.5000 0.0000  0.17
Ir 0.0000 0.0000 0.5000  0.17
Te 0.0000 0.0000 0.0000  -0.01



[13]
Compound: Te2Ir
Source: Alexandria
Functional: PBEsol
Structure: optimized geometry

Calculated values
Uncorrected formation energy ... 8 kJ/mol of formula units
Theoretical density ... 10.12 g/cm3
Total moment ... 0.00 μB per cell

Unit cell a=3.6478 b=6.6963 c=6.9301 alpha=66.26 beta=74.74 gamma=74.19
Fractional positions:
Ir 0.5564 0.5981 0.2890
Ir 0.4436 0.4019 0.7110
Te 0.1188 0.7646 0.9978
Te 0.8682 0.7408 0.5227
Te 0.1318 0.2592 0.4773
Te 0.8812 0.2354 0.0022



[14]
Compound: Te2Ir
Source: Alexandria
Functional: PBEsol
Structure: optimized geometry

Calculated values
Uncorrected formation energy ... -88 kJ/mol of formula units
Theoretical density ... 10.51 g/cm3
Total moment ... 0.00 μB per cell

Unit cell a=4.0207 b=5.2845 c=10.1801 alpha=90.73 beta=101.39 gamma=90.00
Fractional positions:
Ir 0.0000 0.5000 0.0000
Ir 0.6597 0.0002 0.3194
Ir 0.3403 0.9998 0.6806
Te 0.1213 0.7132 0.2426
Te 0.8787 0.2868 0.7574
Te 0.2202 0.2442 0.4405
Te 0.4554 0.7768 0.9107
Te 0.5446 0.2232 0.0893
Te 0.7798 0.7558 0.5595



[15]
Compound: TeIr3
Source: Alexandria
Functional: PBEsol
Structure: optimized geometry

Calculated values
Uncorrected formation energy ... 153 kJ/mol of formula units
Theoretical density ... 18.71 g/cm3
Total moment ... 0.00 μB per cell

Unit cell a=3.9683 b=3.9683 c=3.9683 alpha=90.00 beta=90.00 gamma=90.00
Fractional positions:
Ir 0.0000 0.5000 0.5000
Ir 0.5000 0.0000 0.5000
Ir 0.5000 0.5000 0.0000
Te 0.0000 0.0000 0.0000



[16]
Compound: TeIr3
Source: Alexandria
Functional: PBEsol
Structure: optimized geometry

Calculated values
Uncorrected formation energy ... 168 kJ/mol of formula units
Theoretical density ... 18.31 g/cm3
Total moment ... 0.00 μB per cell

Unit cell a=2.9409 b=4.7788 c=5.3409 alpha=116.58 beta=105.98 gamma=90.00
Fractional positions:
Ir 0.2316 0.2503 0.4632
Ir 0.7684 0.7871 0.5368
Ir 0.5000 0.7942 0.0000
Te 0.0000 0.3351 0.0000



[17]
Compound: TeIr3
Source: Alexandria
Functional: PBEsol
Structure: optimized geometry

Calculated values
Uncorrected formation energy ... 376 kJ/mol of formula units
Theoretical density ... 17.78 g/cm3
Total moment ... 0.00 μB per cell

Unit cell a=5.0857 b=5.0857 c=5.0857 alpha=90.00 beta=90.00 gamma=90.00
Fractional positions:
Ir 0.7500 0.5000 0.0000
Ir 0.2500 0.5000 0.0000
Ir 0.0000 0.7500 0.5000
Ir 0.0000 0.2500 0.5000
Ir 0.5000 0.0000 0.2500
Ir 0.5000 0.0000 0.7500
Te 0.0000 0.0000 0.0000
Te 0.5000 0.5000 0.5000



[18]
Compound: Te2Ir
Source: Alexandria
Functional: PBEsol
Structure: optimized geometry

Calculated values
Uncorrected formation energy ... 154 kJ/mol of formula units
Theoretical density ... 11.03 g/cm3
Total moment ... 0.00 μB per cell

Unit cell a=4.4844 b=4.4844 c=7.7361 alpha=90.00 beta=90.00 gamma=120.00
Fractional positions:
Ir 0.6667 0.3333 0.7500
Ir 0.3333 0.6667 0.2500
Te 0.0000 0.0000 0.0000
Te 0.0000 0.0000 0.5000
Te 0.6667 0.3333 0.2500
Te 0.3333 0.6667 0.7500



[19]
Compound: Te2Ir
Source: Alexandria
Functional: PBEsol
Structure: optimized geometry

Calculated values
Uncorrected formation energy ... 73 kJ/mol of formula units
Theoretical density ... 11.30 g/cm3
Total moment ... 0.00 μB per cell

Unit cell a=5.5598 b=5.5598 c=5.5598 alpha=106.97 beta=106.97 gamma=114.59
Fractional positions:
Ir 0.2500 0.2500 0.0000
Ir 0.7500 0.7500 0.0000
Te 0.3209 0.8208 0.1417
Te 0.6792 0.1792 0.8583
Te 0.8208 0.6792 0.5000
Te 0.1792 0.3209 0.5000



[20]
Compound: Te2Ir
Source: Alexandria
Functional: PBEsol
Structure: optimized geometry

Calculated values
Uncorrected formation energy ... 73 kJ/mol of formula units
Theoretical density ... 11.02 g/cm3
Total moment ... 0.00 μB per cell

Unit cell a=3.0770 b=3.4276 c=6.7940 alpha=104.61 beta=103.09 gamma=90.00
Fractional positions:
Ir 0.0000 0.0000 0.0000
Te 0.3693 0.3693 0.7386
Te 0.6307 0.6307 0.2614



[21]
Compound: Te2Ir
Source: Alexandria
Functional: PBEsol
Structure: optimized geometry

Calculated values
Uncorrected formation energy ... -79 kJ/mol of formula units
Theoretical density ... 10.44 g/cm3
Total moment ... 0.00 μB per cell

Unit cell a=3.9642 b=6.5965 c=14.4858 alpha=98.62 beta=92.72 gamma=107.38
Fractional positions:
Te 0.7821 0.7041 0.0891
Te 0.4869 0.8412 0.8878
Te 0.0564 0.0560 0.6843
Te 0.6338 0.2723 0.4821
Te 0.2028 0.4814 0.2763
Te 0.5131 0.1588 0.1122
Te 0.2179 0.2959 0.9109
Te 0.7972 0.5186 0.7237
Te 0.3662 0.7277 0.5179
Te 0.9436 0.9440 0.3157
Ir 0.8616 0.5680 0.9123
Ir 0.4269 0.7866 0.7037
Ir 0.0000 0.0000 0.5000
Ir 0.1384 0.4320 0.0877
Ir 0.5731 0.2134 0.2963



[22]
Compound: TeIr3
Source: Alexandria
Functional: PBEsol
Structure: optimized geometry

Calculated values
Uncorrected formation energy ... 185 kJ/mol of formula units
Theoretical density ... 18.43 g/cm3
Total moment ... 0.00 μB per cell

Unit cell a=4.5354 b=4.8934 c=5.7183 alpha=90.00 beta=90.00 gamma=90.00
Fractional positions:
Ir 0.5000 0.7121 0.0000
Ir 0.0000 0.2879 0.5000
Ir 0.0000 0.8216 0.7565
Ir 0.0000 0.8216 0.2435
Ir 0.5000 0.1784 0.2565
Ir 0.5000 0.1784 0.7435
Te 0.0000 0.3270 0.0000
Te 0.5000 0.6730 0.5000



[23]
Compound: Te2Ir
Source: Alexandria
Functional: PBEsol
Structure: optimized geometry

Calculated values
Uncorrected formation energy ... -72 kJ/mol of formula units
Theoretical density ... 11.06 g/cm3
Total moment ... 0.00 μB per cell

Unit cell a=6.4520 b=6.4520 c=6.4520 alpha=90.00 beta=90.00 gamma=90.00
Fractional positions:
Ir 0.0000 0.0000 0.0000
Ir 0.5000 0.0000 0.5000
Ir 0.0000 0.5000 0.5000
Ir 0.5000 0.5000 0.0000
Te 0.3664 0.3664 0.3664
Te 0.1336 0.6336 0.8664
Te 0.6336 0.8664 0.1336
Te 0.8664 0.1336 0.6336
Te 0.6336 0.6336 0.6336
Te 0.8664 0.3664 0.1336
Te 0.3664 0.1336 0.8664
Te 0.1336 0.8664 0.3664



[24]
Compound: Te2Ir
Source: Alexandria
Functional: PBEsol
Structure: optimized geometry

Calculated values
Uncorrected formation energy ... -54 kJ/mol of formula units
Theoretical density ... 10.20 g/cm3
Total moment ... 0.00 μB per cell

Unit cell a=4.0215 b=5.3750 c=7.0331 alpha=90.00 beta=106.61 gamma=90.00
Fractional positions:
Ir 0.8341 0.7500 0.6682
Ir 0.1659 0.2500 0.3318
Te 0.2053 0.7500 0.4105
Te 0.4583 0.7500 0.9166
Te 0.5417 0.2500 0.0834
Te 0.7947 0.2500 0.5895



[25]
Compound: TeIrW2
Source: Alexandria
Functional: PBEsol
Structure: optimized geometry

Calculated values
Uncorrected formation energy ... 216 kJ/mol of formula units
Theoretical density ... 17.02 g/cm3
Total moment ... 0.00 μB per cell

Unit cell a=2.8562 b=4.1564 c=5.7475 alpha=90.00 beta=100.61 gamma=90.00
Fractional positions:
Ir 0.5000 0.5000 0.0000
Te 0.5000 0.5000 0.5000
W 0.9073 0.0000 0.7736
W 0.0927 0.0000 0.2264



[26]
Compound: TeIr4W
Source: Alexandria
Functional: PBEsol
Structure: optimized geometry

Calculated values
Uncorrected formation energy ... 388 kJ/mol of formula units
Theoretical density ... 18.31 g/cm3
Total moment ... 0.00 μB per cell

Unit cell a=5.1747 b=5.1747 c=5.1747 alpha=60.00 beta=60.00 gamma=60.00
Fractional positions:
Ir 0.6256 0.6256 0.1231
Ir 0.1231 0.6256 0.6256
Ir 0.6256 0.1231 0.6256
Ir 0.6256 0.6256 0.6256
Te 0.2500 0.2500 0.2500
W 0.0000 0.0000 0.0000



[27]
Compound: TeIrW2
Source: Alexandria
Functional: PBEsol
Structure: optimized geometry

Calculated values
Uncorrected formation energy ... 247 kJ/mol of formula units
Theoretical density ... 17.26 g/cm3
Total moment ... 0.00 μB per cell

Unit cell a=2.9130 b=5.0441 c=5.0441 alpha=115.14 beta=95.19 gamma=95.19
Fractional positions:
Ir 0.5000 0.5000 0.5000
Te 0.5000 0.0000 0.0000
W 0.0000 0.5000 0.0000
W 0.0000 0.0000 0.5000



[28]
Compound: TeIrW2
Source: Alexandria
Functional: PBEsol
Structure: optimized geometry

Calculated values
Uncorrected formation energy ... 174 kJ/mol of formula units
Theoretical density ... 17.51 g/cm3
Total moment ... 0.00 μB per cell

Unit cell a=3.0659 b=3.0659 c=6.9345 alpha=90.00 beta=90.00 gamma=90.00
Fractional positions:
Ir 0.5000 0.5000 0.0000
Te 0.5000 0.5000 0.5000
W 0.0000 0.0000 0.7549
W 0.0000 0.0000 0.2451